Compound: CuRuSe2
Source: the Alexandria database
Functional: GGA-PBE
Structure: optimized geometry

abc: 5.2475 5.2475 5.2475
angles: 138.01 138.01 60.89
Atoms (fractional coordinates):
1 Se 0.0000 0.0000 0.0000
2 Se 0.2500 0.7500 0.5000
3 Ru 0.7500 0.2500 0.5000
4 Cu 0.5000 0.5000 0.0000

Summary:
Calculated total energy   -4.6258 eV/atom
Space group   I-4m2 (119)



Compound: Sc2GaSeO
Source: the Alexandria database
Functional: GGA-PBE
Structure: optimized geometry

abc: 4.9955 4.8488 4.9955
angles: 90.00 90.00 90.00
Atoms (fractional coordinates):
1 O 0.5000 0.5000 0.5000
2 Se 0.0000 0.0000 0.0000
3 Ga 0.0000 0.5000 0.0000
4 Sc 0.5000 0.0000 0.0000
5 Sc 0.0000 0.0000 0.5000

Summary:
Calculated total energy   -4.6716 eV/atom
Space group   P4/mmm (123)



Compound: Be2Fe2W
Source: the Alexandria database
Functional: GGA-PBE
Structure: optimized geometry

abc: 6.2198 6.2198 2.6898
angles: 90.00 90.00 90.00
Atoms (fractional coordinates):
1 Fe 0.8261 0.3261 0.5000
2 Fe 0.6739 0.8261 0.5000
3 Fe 0.1739 0.6739 0.5000
4 Fe 0.3261 0.1739 0.5000
5 Be 0.8812 0.6188 0.0000
6 Be 0.1188 0.3812 0.0000
7 Be 0.6188 0.1188 0.0000
8 Be 0.3812 0.8812 0.0000
9 W 0.0000 0.0000 0.0000
10 W 0.5000 0.5000 0.0000

Summary:
Calculated formation energy   -0.058 eV/atom
Space group   P4/mbm (127)



Compound: AcNdDy5
Source: the Alexandria database
Functional: GGA-PBE
Structure: optimized geometry

abc: 6.6728 6.6728 11.9509
angles: 106.23 106.23 95.60
Atoms (fractional coordinates):
1 Dy 0.3846 0.0361 0.8331
2 Dy 0.7634 0.4708 0.0352
3 Dy 0.1755 0.8245 0.2500
4 Dy 0.5292 0.2366 0.4648
5 Dy 0.9639 0.6154 0.6669
6 Dy 0.0361 0.3846 0.3331
7 Dy 0.6154 0.9639 0.1669
8 Dy 0.2366 0.5292 0.9648
9 Dy 0.8245 0.1755 0.7500
10 Dy 0.4708 0.7634 0.5352
11 Nd 0.5161 0.4839 0.2500
12 Nd 0.4839 0.5161 0.7500
13 Ac 0.0000 0.0000 0.5000
14 Ac 0.0000 0.0000 0.0000

Summary:
Calculated formation energy   0.095 eV/atom
Space group   C2/c (15)



Compound: Ta3Nb3Ru2
Source: the Alexandria database
Functional: GGA-PBE
Structure: optimized geometry

abc: 4.5707 4.5725 7.2955
angles: 108.22 108.26 90.00
Atoms (fractional coordinates):
1 Ta 0.6290 0.1288 0.2580
2 Ta 0.3710 0.8712 0.7420
3 Ta 0.5000 0.5000 0.0000
4 Nb 0.0000 0.0000 0.0000
5 Nb 0.1271 0.6270 0.2543
6 Nb 0.8729 0.3730 0.7457
7 Ru 0.2502 0.2504 0.5004
8 Ru 0.7498 0.7496 0.4996

Summary:
Calculated formation energy   -0.241 eV/atom
Space group   Immm (71)



Compound: Ba3MgS
Source: the Alexandria database
Functional: GGA-PBE
Structure: optimized geometry

abc: 6.1766 6.1766 6.1766
angles: 90.00 90.00 90.00
Atoms (fractional coordinates):
1 S 0.0000 0.0000 0.0000
2 Ba 0.5000 0.0000 0.0000
3 Ba 0.0000 0.0000 0.5000
4 Ba 0.0000 0.5000 0.0000
5 Mg 0.5000 0.5000 0.5000

Summary:
Polymorph energy (0 for the lowest one)   0 meV/atom
Space group   Pm-3m (221)



Compound: LiTmSb
Source: the Alexandria database
Functional: GGA-PBE
Structure: optimized geometry

abc: 4.0451 4.3880 4.3880
angles: 120.00 90.00 90.00
Atoms (fractional coordinates):
1 Li 0.8338 0.0000 0.0000
2 Tm 0.3332 0.3333 0.6667
3 Sb 0.8329 0.6667 0.3333

Summary:
Polymorph energy (0 for the lowest one)   47 meV/atom
Space group   P-6m2 (187)



Compound: AgPd
Source: the Alexandria database
Functional: GGA-PBE
Structure: optimized geometry

abc: 4.9491 4.9491 4.9491
angles: 33.57 33.57 33.57
Atoms (fractional coordinates):
1 Pd 0.5000 0.5000 0.5000
2 Ag 0.0000 0.0000 0.0000

Summary:
Calculated formation energy   -0.032 eV/atom
Space group   R-3m (166)



Compound: ThPd6Au2
Source: the Alexandria database
Functional: GGA-PBE
Structure: optimized geometry

abc: 5.0492 7.5342 6.5519
angles: 139.01 104.47 82.69
Atoms (fractional coordinates):
1 Pd 0.2328 0.5531 0.4403
2 Pd 0.7672 0.4469 0.5597
3 Pd 0.8874 0.2181 0.7681
4 Pd 0.1126 0.7819 0.2319
5 Pd 0.5567 0.8941 0.1256
6 Pd 0.4433 0.1059 0.8744
7 Au 0.6698 0.6532 0.3181
8 Au 0.3302 0.3468 0.6819
9 Th 0.0000 0.0000 0.0000

Summary:
Calculated formation energy   -0.473 eV/atom
Polymorph energy (0 for the lowest one)   0 meV/atom
Space group   P-1 (2)



Compound: CrTcAg2
Source: the Alexandria database
Functional: GGA-PBE
Structure: optimized geometry

abc: 9.3518 9.3518 9.3518
angles: 17.34 17.34 17.34
Atoms (fractional coordinates):
1 Ag 0.2448 0.2448 0.2448
2 Ag 0.0024 0.0024 0.0024
3 Cr 0.4929 0.4929 0.4929
4 Tc 0.7600 0.7600 0.7600

Summary:
Calculated formation energy   0.338 eV/atom
Polymorph energy (0 for the lowest one)   15 meV/atom
Space group   R3m (160)



Compound: Ac2Pd4Au5
Source: the Alexandria database
Functional: GGA-PBE
Structure: optimized geometry

abc: 5.5980 5.4956 9.5737
angles: 81.44 73.00 59.38
Atoms (fractional coordinates):
1 Au 0.7500 0.5000 0.5000
2 Au 0.0000 0.5000 0.0000
3 Au 0.2500 0.5000 0.5000
4 Au 0.5000 0.5000 0.0000
5 Au 0.5000 0.0000 0.0000
6 Pd 0.7886 0.6778 0.7451
7 Pd 0.2114 0.3222 0.2549
8 Pd 0.4664 0.3222 0.7451
9 Pd 0.5336 0.6778 0.2549
10 Ac 0.1336 0.0000 0.7328
11 Ac 0.8664 0.0000 0.2672

Summary:
Calculated formation energy   -0.590 eV/atom
Polymorph energy (0 for the lowest one)   0 meV/atom
Space group   Fmmm (69)



Compound: BaHf2Si2
Source: the Alexandria database
Functional: GGA-PBE
Structure: optimized geometry

abc: 5.0422 5.0422 6.3696
angles: 66.68 66.68 90.00
Atoms (fractional coordinates):
1 Hf 0.6732 0.6732 0.6537
2 Hf 0.3268 0.3268 0.3463
3 Ba 0.0000 0.0000 0.0000
4 Si 0.7500 0.2500 0.5000
5 Si 0.2500 0.7500 0.5000

Summary:
Polymorph energy (0 for the lowest one)   80 meV/atom
Space group   I4/mmm (139)



- What is the formula in the fifth record?
  Ta3Nb3Ru2